A relaxed structure of ScFeGe3. Source: Alexandria via LeMat-Bulk, functional PBE.

## Properties
total magnetization = 0.7039 μB/atom
total energy = -4.72 eV per atom
calculated density = 4116 kg/m³
formation energy from the elements = 1.008 eV/atom
symmetry = Pm-3m (221)

abc: 5.0474 5.0474 5.0474
angles: 90.00 90.00 90.00
With the nearest neighbours (Å) after each atom.
Fractional coordinates of all 5 atoms:
Ge 0.5000 0.0000 0.0000  2 Sc 2.52
Fe 0.5000 0.5000 0.5000  12 Ge 3.57
Ge 0.0000 0.0000 0.5000  2 Sc 2.52
Sc 0.0000 0.0000 0.0000  6 Ge 2.52
Ge 0.0000 0.5000 0.0000  2 Sc 2.52